PBE AlGa2Pb2, relaxed; total magnetic moment = 0.0 μB/f.u.; energy of formation = 9.82 kJ per mole of atoms; calculated total energy = -33.41 eV/cell
1.0
6.9056 0.0000 0.0000
0.0000 6.9056 0.0000
0.0000 0.0000 5.1093
Pb Ga Al
4 4 2
direct
0.3153 0.1847 0.5000 Pb
0.1847 0.6847 0.5000 Pb
0.8153 0.3153 0.5000 Pb
0.6847 0.8153 0.5000 Pb
0.6346 0.1346 0.0000 Ga
0.1346 0.3654 0.0000 Ga
0.3654 0.8654 0.0000 Ga
0.8654 0.6346 0.0000 Ga
0.0000 0.0000 0.0000 Al
0.5000 0.5000 0.0000 Al